Ba2LaCo2O6: optimized geometry, PBE with a Hubbard U.

Unit cell a=7.0840 b=7.0840 c=7.0840 alpha=51.21 beta=51.21 gamma=51.21
With the nearest neighbours (Å) after each atom.
Element x y z (fractional)
Ba  0.2076  0.2076  0.2076  3 O 2.77
Ba  0.7924  0.7924  0.7924  3 O 2.77
La  0.0000  0.0000  0.0000  6 O 2.40
Co  0.4216  0.4216  0.4216  3 O 1.81
Co  0.5784  0.5784  0.5784  3 O 1.81
O  0.2359  0.7466  0.7466  1 Co 1.81
O  0.2534  0.2534  0.7641  1 Co 1.81
O  0.2534  0.7641  0.2534  1 Co 1.81
O  0.7466  0.2359  0.7466  1 Co 1.81
O  0.7466  0.7466  0.2359  1 Co 1.81
O  0.7641  0.2534  0.2534  1 Co 1.81

Summary:
* total energy: -6.49 eV per atom